The following is a DFT calculation (GGA-PBE) of a geometry-optimized Ta4Ni3W2C3 structure.

```
24
Lattice="4.5992 -2.5942 0.0000 4.5992 2.5942 0.0000 -3.0992 0.0000 13.0444" Properties=species:S:1:pos:R:3 pbc="T T T"
Ta 0.7565 0.4600 1.1742
Ta 0.7555 0.4340 5.3366
Ta -0.7931 -0.4600 7.6964
Ta -0.7940 -0.4340 11.8588
Ta 6.8934 0.4340 1.1856
Ta 6.8924 0.4600 5.3481
Ta 5.3438 -0.4340 7.7078
Ta 5.3428 -0.4600 11.8703
Ni 2.2749 2.2117 9.7833
Ni 0.0996 0.7523 9.7690
Ni 1.6492 -0.7523 3.2468
Ni 4.4501 0.7523 9.7976
Ni 5.9997 -0.7523 3.2754
Ni 3.8244 -2.2117 3.2611
W 3.8842 0.3909 1.6348
W 3.7647 0.3909 4.8875
W 2.3346 -0.3909 8.1570
W 2.2151 -0.3909 11.4097
C 2.2996 1.2971 0.0000
C 2.3378 1.1927 6.5173
C 5.3111 1.1927 0.0049
C 0.7500 -1.2971 6.5222
C 0.7882 -1.1927 13.0395
C 3.7615 -1.1927 6.5271
```

## Properties
Space-group type   C2/c, No. 15
VASP energy   -9.889 eV per atom